Entry from Alexandria: a relaxed CoPdRu crystal (GGA-PBE).

Calculated values
Symmetry: C2/m (12)
Formation energy from the elements (meV per atom): 152.2

The structure in POSCAR format:
```
CoPdRu
1.0
-5.117 -0.890 1.281
-0.281 -1.542 -2.194
5.701 -8.572 5.294
Ru Co Pd
4 4 4
direct
0.096 0.000 0.678
0.904 0.000 0.322
0.096 0.500 0.178
0.904 0.500 0.822
0.577 0.500 0.176
0.423 0.000 0.324
0.423 0.500 0.824
0.577 0.000 0.676
0.252 0.500 0.498
0.748 0.500 0.502
0.748 0.000 0.002
0.252 0.000 0.998
```

---

Entry from Alexandria: a relaxed Mn2CoSi crystal (GGA-PBE).

Calculated values
Symmetry: Immm (71)
Energy relative to the elements, uncorrected (meV/atom): -198

The structure in POSCAR format:
```
Mn2CoSi
1.0
4.686 -0.016 0.063
2.206 4.134 -0.063
-3.064 -2.698 2.301
Mn Si Co
2 1 1
direct
0.995 0.995 0.000
0.505 0.505 0.000
0.750 0.250 0.500
0.250 0.750 0.500
```

---

Entry from Alexandria: a relaxed Be2GeIrPd crystal (GGA-PBE).

Calculated values
Symmetry: P4/mmm (123)
Formation energy from the elements (meV per atom): 779.2

The structure in POSCAR format:
```
Be2GeIrPd
1.0
4.043 0.000 0.000
0.000 5.101 0.000
0.000 0.000 4.043
Ge Be Pd Ir
1 2 1 1
direct
0.500 0.500 0.500
0.000 0.000 0.500
0.500 0.000 0.000
0.000 0.000 0.000
0.000 0.500 0.000
```

---

Entry from Alexandria: a relaxed Sr4NiSe crystal (GGA-PBE).

Calculated values
Symmetry: F-43m (216)
Energy relative to the elements, uncorrected (meV/atom): 544

The structure in POSCAR format:
```
Sr4NiSe
1.0
0.000 4.889 4.889
4.889 0.000 4.889
4.889 4.889 0.000
Se Ni Sr
1 1 4
direct
0.000 0.000 0.000
0.750 0.750 0.750
0.375 0.375 0.875
0.375 0.875 0.375
0.875 0.375 0.375
0.375 0.375 0.375
```

---

| no. | total DFT energy (no corrections) (eV/atom) | magnetization (μB/atom) |
| --- | --- | --- |
| 1 | -7.04 | 0.55 |
| 2 | -7.92 | 0.93 |
| 3 | -4.45 | 0.00 |
| 4 | -2.12 | 0.05 |